A relaxed structure of Mg2TaBe2, computed with GGA-PBE.

```
10
Lattice="0.0000 6.3057 2.7814 4.3285 0.0000 2.7814 4.3285 6.3057 0.0000" Properties=species:S:1:pos:R:3 pbc="T T T"
Mg 4.7073 5.0048 2.7814
Mg 3.9498 7.6065 2.7814
Mg 6.1141 8.1576 4.1721
Mg 6.8715 10.7594 4.1721
Ta 4.3285 6.3057 0.1319
Ta 2.1643 3.1528 1.5226
Be 6.3330 6.8871 1.6635
Be 4.1687 2.5714 3.0542
Be 2.3241 5.7242 1.6635
Be 4.4884 10.0399 3.0542
```

Total DFT energy (no corrections)   -4.037 eV per atom
Calculated density   5416 kg/m³